Entry 1:
Density functional theory data (PBE) for Pa2MnCu after structural relaxation. Values from VASP.

Cell and atoms, written as Quantum ESPRESSO input:
```
&SYSTEM
  ibrav = 0, nat = 4, ntyp = 3
/
ATOMIC_SPECIES
Pa 231.04 Pa.upf
Mn 54.94 Mn.upf
Cu 63.55 Cu.upf
CELL_PARAMETERS angstrom
3.033 0.000 0.000
0.000 3.033 0.000
0.000 0.000 8.125
ATOMIC_POSITIONS crystal
Pa 0.000 0.000 0.225
Pa 0.000 0.000 0.775
Mn 0.500 0.500 0.000
Cu 0.500 0.500 0.500
```

Results
Relative energy among the computed polymorphs = 0.000 eV/atom
ΔE_f = 0.073 eV per atom
SG = P4/mmm, No. 123

=====

Entry 2:
Density functional theory data (PBE) for PaMn2Cu after structural relaxation. Values from VASP.

Cell and atoms, written as Quantum ESPRESSO input:
```
&SYSTEM
  ibrav = 0, nat = 4, ntyp = 3
/
ATOMIC_SPECIES
Pa 231.04 Pa.upf
Mn 54.94 Mn.upf
Cu 63.55 Cu.upf
CELL_PARAMETERS angstrom
4.090 0.000 0.000
0.000 4.090 0.000
0.000 0.000 3.614
ATOMIC_POSITIONS crystal
Pa 0.000 0.000 0.000
Mn 0.000 0.500 0.500
Mn 0.500 0.000 0.500
Cu 0.500 0.500 0.000
```

Results
Relative energy among the computed polymorphs = 0.056 eV/atom
ΔE_f = 0.062 eV per atom
SG = P4/mmm, No. 123

=====

Entry 3:
Density functional theory data (PBE) for PaMn2Cu after structural relaxation. Values from VASP.

Cell and atoms, written as Quantum ESPRESSO input:
```
&SYSTEM
  ibrav = 0, nat = 4, ntyp = 3
/
ATOMIC_SPECIES
Pa 231.04 Pa.upf
Mn 54.94 Mn.upf
Cu 63.55 Cu.upf
CELL_PARAMETERS angstrom
2.155 1.244 4.052
-2.155 1.244 4.052
0.000 -2.489 4.052
ATOMIC_POSITIONS crystal
Pa 0.000 0.000 0.000
Mn 0.184 0.184 0.184
Mn 0.816 0.816 0.816
Cu 0.500 0.500 0.500
```

Results
Relative energy among the computed polymorphs = 0.000 eV/atom
ΔE_f = 0.007 eV per atom
SG = R-3m, No. 166

=====

Entry 4:
Density functional theory data (PBE) for Pa2MnCu after structural relaxation. Values from VASP.

Cell and atoms, written as Quantum ESPRESSO input:
```
&SYSTEM
  ibrav = 0, nat = 4, ntyp = 3
/
ATOMIC_SPECIES
Pa 231.04 Pa.upf
Mn 54.94 Mn.upf
Cu 63.55 Cu.upf
CELL_PARAMETERS angstrom
1.505 0.869 9.961
-1.505 0.869 9.961
0.000 -1.738 9.961
ATOMIC_POSITIONS crystal
Pa 0.094 0.094 0.094
Pa 0.906 0.906 0.906
Mn 0.500 0.500 0.500
Cu 0.000 0.000 0.000
```

Results
Relative energy among the computed polymorphs = 0.441 eV/atom
ΔE_f = 0.514 eV per atom
SG = R-3m, No. 166

=====

Entry 5:
Density functional theory data (PBE) for PuPaMnCu after structural relaxation. Values from VASP.

Cell and atoms, written as Quantum ESPRESSO input:
```
&SYSTEM
  ibrav = 0, nat = 4, ntyp = 4
/
ATOMIC_SPECIES
Pu 244.00 Pu.upf
Pa 231.04 Pa.upf
Mn 54.94 Mn.upf
Cu 63.55 Cu.upf
CELL_PARAMETERS angstrom
0.000 3.383 3.383
3.383 0.000 3.383
3.383 3.383 0.000
ATOMIC_POSITIONS crystal
Pu 0.000 0.000 0.000
Pa 0.500 0.500 0.500
Mn 0.250 0.250 0.250
Cu 0.750 0.750 0.750
```

Results
Relative energy among the computed polymorphs = 0.204 eV/atom
ΔE_f = 0.157 eV per atom
SG = F-43m, No. 216

=====

Entry 6:
Density functional theory data (PBE) for PuPaMnCu after structural relaxation. Values from VASP.

Cell and atoms, written as Quantum ESPRESSO input:
```
&SYSTEM
  ibrav = 0, nat = 4, ntyp = 4
/
ATOMIC_SPECIES
Pu 244.00 Pu.upf
Pa 231.04 Pa.upf
Mn 54.94 Mn.upf
Cu 63.55 Cu.upf
CELL_PARAMETERS angstrom
0.000 3.262 3.262
3.262 0.000 3.262
3.262 3.262 0.000
ATOMIC_POSITIONS crystal
Pu 0.000 0.000 0.000
Pa 0.750 0.750 0.750
Mn 0.500 0.500 0.500
Cu 0.250 0.250 0.250
```

Results
Relative energy among the computed polymorphs = 0.000 eV/atom
ΔE_f = -0.047 eV per atom
SG = F-43m, No. 216

=====

Entry 7:
Density functional theory data (PBE) for PaMnCuS4 after structural relaxation. Values from VASP.

Cell and atoms, written as Quantum ESPRESSO input:
```
&SYSTEM
  ibrav = 0, nat = 14, ntyp = 4
/
ATOMIC_SPECIES
Pa 231.04 Pa.upf
Mn 54.94 Mn.upf
Cu 63.55 Cu.upf
S 32.06 S.upf
CELL_PARAMETERS angstrom
-3.685 3.950 5.086
3.685 -3.950 5.086
3.685 3.950 -5.086
ATOMIC_POSITIONS crystal
Pa 0.000 0.000 0.000
Pa 0.500 0.000 0.500
Mn 0.500 0.000 0.000
Mn 0.500 0.500 0.500
Cu 0.104 0.354 0.750
Cu 0.896 0.646 0.250
S 0.246 0.243 0.497
S 0.246 0.750 0.003
S 0.264 0.744 0.521
S 0.277 0.256 0.021
S 0.723 0.744 0.979
S 0.736 0.256 0.479
S 0.754 0.250 0.997
S 0.754 0.757 0.503
```

Results
SG = Imma, No. 74
Formation energy without anion corrections = -965 meV/atom

=====

Entry 8:
Density functional theory data (PBE) for Pa2MnCuS5 after structural relaxation. Values from VASP.

Cell and atoms, written as Quantum ESPRESSO input:
```
&SYSTEM
  ibrav = 0, nat = 18, ntyp = 4
/
ATOMIC_SPECIES
Pa 231.04 Pa.upf
Mn 54.94 Mn.upf
Cu 63.55 Cu.upf
S 32.06 S.upf
CELL_PARAMETERS angstrom
1.880 -8.018 0.000
1.880 8.018 0.000
0.000 0.000 11.076
ATOMIC_POSITIONS crystal
Pa 0.112 0.888 0.500
Pa 0.128 0.872 0.118
Pa 0.872 0.128 0.618
Pa 0.888 0.112 0.000
Mn 0.197 0.803 0.823
Mn 0.803 0.197 0.323
Cu 0.434 0.566 0.266
Cu 0.566 0.434 0.766
S 0.042 0.958 0.873
S 0.292 0.708 0.475
S 0.306 0.694 0.160
S 0.354 0.646 0.815
S 0.497 0.503 0.588
S 0.503 0.497 0.088
S 0.646 0.354 0.315
S 0.694 0.306 0.660
S 0.708 0.292 0.975
S 0.958 0.042 0.373
```

Results
SG = Cmc2_1, No. 36
Formation energy without anion corrections = -1137 meV/atom

=====

Entry 9:
Density functional theory data (PBE) for PaMn4CuS8 after structural relaxation. Values from VASP.

Cell and atoms, written as Quantum ESPRESSO input:
```
&SYSTEM
  ibrav = 0, nat = 14, ntyp = 4
/
ATOMIC_SPECIES
Pa 231.04 Pa.upf
Mn 54.94 Mn.upf
Cu 63.55 Cu.upf
S 32.06 S.upf
CELL_PARAMETERS angstrom
3.614 2.086 6.040
-3.614 2.086 6.040
0.000 -4.173 6.040
ATOMIC_POSITIONS crystal
Pa 0.000 0.000 0.000
Mn 0.368 0.368 0.368
Mn 0.504 0.999 0.999
Mn 0.999 0.504 0.999
Mn 0.999 0.999 0.504
Cu 0.633 0.633 0.633
S 0.239 0.239 0.239
S 0.243 0.744 0.744
S 0.258 0.258 0.762
S 0.258 0.762 0.258
S 0.744 0.243 0.744
S 0.744 0.744 0.243
S 0.760 0.760 0.760
S 0.762 0.258 0.258
```

Results
SG = R3m, No. 160
Formation energy without anion corrections = -781 meV/atom

=====

Entry 10:
Density functional theory data (PBE) for PaMn2CuS6 after structural relaxation. Values from VASP.

Cell and atoms, written as Quantum ESPRESSO input:
```
&SYSTEM
  ibrav = 0, nat = 10, ntyp = 4
/
ATOMIC_SPECIES
Pa 231.04 Pa.upf
Mn 54.94 Mn.upf
Cu 63.55 Cu.upf
S 32.06 S.upf
CELL_PARAMETERS angstrom
3.132 1.808 5.729
-3.132 1.808 5.729
0.000 -3.616 5.729
ATOMIC_POSITIONS crystal
Pa 0.000 0.000 0.000
Mn 0.192 0.192 0.192
Mn 0.689 0.689 0.689
Cu 0.485 0.485 0.485
S 0.080 0.433 0.789
S 0.317 0.911 0.565
S 0.433 0.789 0.080
S 0.565 0.317 0.911
S 0.789 0.080 0.433
S 0.911 0.565 0.317
```

Results
SG = R3, No. 146
Formation energy without anion corrections = -761 meV/atom

=====

Entry 11:
Density functional theory data (PBE) for PaMnCuSe4 after structural relaxation. Values from VASP.

Cell and atoms, written as Quantum ESPRESSO input:
```
&SYSTEM
  ibrav = 0, nat = 14, ntyp = 4
/
ATOMIC_SPECIES
Pa 231.04 Pa.upf
Mn 54.94 Mn.upf
Cu 63.55 Cu.upf
Se 78.96 Se.upf
CELL_PARAMETERS angstrom
-3.918 4.098 5.333
3.918 -4.098 5.333
3.918 4.098 -5.333
ATOMIC_POSITIONS crystal
Pa 0.000 0.000 0.000
Pa 0.500 0.000 0.500
Mn 0.500 0.000 0.000
Mn 0.500 0.500 0.500
Cu 0.101 0.351 0.750
Cu 0.899 0.649 0.250
Se 0.244 0.242 0.497
Se 0.244 0.747 0.003
Se 0.266 0.742 0.524
Se 0.282 0.258 0.024
Se 0.718 0.742 0.976
Se 0.734 0.258 0.476
Se 0.756 0.253 0.997
Se 0.756 0.758 0.503
```

Results
SG = Imma, No. 74
Formation energy without anion corrections = -787 meV/atom

=====

Entry 12:
Density functional theory data (PBE) for PaMnCuSi2 after structural relaxation. Values from VASP.

Cell and atoms, written as Quantum ESPRESSO input:
```
&SYSTEM
  ibrav = 0, nat = 5, ntyp = 4
/
ATOMIC_SPECIES
Pa 231.04 Pa.upf
Mn 54.94 Mn.upf
Cu 63.55 Cu.upf
Si 28.09 Si.upf
CELL_PARAMETERS angstrom
-1.973 1.973 5.105
1.973 -1.973 5.105
1.973 1.973 -5.105
ATOMIC_POSITIONS crystal
Pa 0.000 0.000 0.000
Mn 0.750 0.250 0.500
Cu 0.250 0.750 0.500
Si 0.383 0.383 0.000
Si 0.617 0.617 0.000
```

Results
SG = I-4m2, No. 119
Formation energy without anion corrections = -449 meV/atom

=====

Entry 13:
Density functional theory data (PBE) for MnCuPb2 after structural relaxation. Values from VASP.

Cell and atoms, written as Quantum ESPRESSO input:
```
&SYSTEM
  ibrav = 0, nat = 4, ntyp = 3
/
ATOMIC_SPECIES
Mn 54.94 Mn.upf
Cu 63.55 Cu.upf
Pb 207.20 Pb.upf
CELL_PARAMETERS angstrom
3.778 0.000 0.000
0.000 4.270 0.000
-1.884 0.000 5.310
ATOMIC_POSITIONS crystal
Mn 0.000 0.000 0.000
Cu 0.853 0.500 0.709
Pb 0.278 0.000 0.557
Pb 0.568 0.500 0.137
```

Results
Relative energy among the computed polymorphs = 0.035 eV/atom
ΔE_f = 0.284 eV per atom
SG = Pm, No. 6

=====

Entry 14:
Density functional theory data (PBE) for Mn3CuPb after structural relaxation. Values from VASP.

Cell and atoms, written as Quantum ESPRESSO input:
```
&SYSTEM
  ibrav = 0, nat = 5, ntyp = 3
/
ATOMIC_SPECIES
Mn 54.94 Mn.upf
Cu 63.55 Cu.upf
Pb 207.20 Pb.upf
CELL_PARAMETERS angstrom
4.628 0.000 0.000
0.000 4.628 0.000
0.000 0.000 4.628
ATOMIC_POSITIONS crystal
Mn 0.000 0.000 0.500
Mn 0.000 0.500 0.000
Mn 0.500 0.000 0.000
Cu 0.000 0.000 0.000
Pb 0.500 0.500 0.500
```

Results
Relative energy among the computed polymorphs = 0.000 eV/atom
ΔE_f = 0.703 eV per atom
SG = Pm-3m, No. 221

=====

Entry 15:
Density functional theory data (PBE) for MnCuPb4 after structural relaxation. Values from VASP.

Cell and atoms, written as Quantum ESPRESSO input:
```
&SYSTEM
  ibrav = 0, nat = 6, ntyp = 3
/
ATOMIC_SPECIES
Mn 54.94 Mn.upf
Cu 63.55 Cu.upf
Pb 207.20 Pb.upf
CELL_PARAMETERS angstrom
0.000 4.494 4.494
4.494 0.000 4.494
4.494 4.494 0.000
ATOMIC_POSITIONS crystal
Mn 0.000 0.000 0.000
Cu 0.250 0.250 0.250
Pb 0.125 0.625 0.625
Pb 0.625 0.125 0.625
Pb 0.625 0.625 0.125
Pb 0.625 0.625 0.625
```

Results
ΔE_f = 0.753 eV per atom
SG = F-43m, No. 216

=====

Entry 16:
Density functional theory data (PBE) for MnCuPb2 after structural relaxation. Values from VASP.

Cell and atoms, written as Quantum ESPRESSO input:
```
&SYSTEM
  ibrav = 0, nat = 4, ntyp = 3
/
ATOMIC_SPECIES
Mn 54.94 Mn.upf
Cu 63.55 Cu.upf
Pb 207.20 Pb.upf
CELL_PARAMETERS angstrom
1.659 0.958 9.757
-1.659 0.958 9.757
0.000 -1.915 9.757
ATOMIC_POSITIONS crystal
Mn 0.000 0.000 0.000
Cu 0.723 0.723 0.723
Pb 0.250 0.250 0.250
Pb 0.465 0.465 0.465
```

Results
Relative energy among the computed polymorphs = 0.108 eV/atom
ΔE_f = 0.357 eV per atom
SG = R3m, No. 160

=====

Entry 17:
Density functional theory data (PBE) for MnCuPb2 after structural relaxation. Values from VASP.

Cell and atoms, written as Quantum ESPRESSO input:
```
&SYSTEM
  ibrav = 0, nat = 4, ntyp = 3
/
ATOMIC_SPECIES
Mn 54.94 Mn.upf
Cu 63.55 Cu.upf
Pb 207.20 Pb.upf
CELL_PARAMETERS angstrom
-1.706 2.316 5.595
1.706 -2.316 5.595
1.706 2.316 -5.595
ATOMIC_POSITIONS crystal
Mn 0.000 0.000 0.000
Cu 0.174 0.674 0.500
Pb 0.457 0.457 0.000
Pb 0.734 0.234 0.500
```

Results
Relative energy among the computed polymorphs = 0.106 eV/atom
ΔE_f = 0.355 eV per atom
SG = Imm2, No. 44

=====

Entry 18:
Density functional theory data (PBE) for MnCuPb2 after structural relaxation. Values from VASP.

Cell and atoms, written as Quantum ESPRESSO input:
```
&SYSTEM
  ibrav = 0, nat = 4, ntyp = 3
/
ATOMIC_SPECIES
Mn 54.94 Mn.upf
Cu 63.55 Cu.upf
Pb 207.20 Pb.upf
CELL_PARAMETERS angstrom
3.538 -3.561 0.000
3.538 3.561 0.000
-0.202 0.000 3.410
ATOMIC_POSITIONS crystal
Mn 0.000 0.000 0.000
Cu 0.500 0.500 0.000
Pb 0.000 0.500 0.500
Pb 0.500 0.000 0.500
```

Results
Relative energy among the computed polymorphs = 0.137 eV/atom
ΔE_f = 0.386 eV per atom
SG = C2/m, No. 12

=====

Entry 19:
Density functional theory data (PBE) for Mn3CuPb after structural relaxation. Values from VASP.

Cell and atoms, written as Quantum ESPRESSO input:
```
&SYSTEM
  ibrav = 0, nat = 5, ntyp = 3
/
ATOMIC_SPECIES
Mn 54.94 Mn.upf
Cu 63.55 Cu.upf
Pb 207.20 Pb.upf
CELL_PARAMETERS angstrom
5.142 0.000 0.000
0.000 5.142 0.000
0.000 0.000 5.142
ATOMIC_POSITIONS crystal
Mn 0.000 0.000 0.500
Mn 0.000 0.500 0.000
Mn 0.500 0.000 0.000
Cu 0.500 0.500 0.500
Pb 0.000 0.000 0.000
```

Results
Relative energy among the computed polymorphs = 0.821 eV/atom
ΔE_f = 1.524 eV per atom
SG = Pm-3m, No. 221

=====

Entry 20:
Density functional theory data (PBE) for MnCuPb2 after structural relaxation. Values from VASP.

Cell and atoms, written as Quantum ESPRESSO input:
```
&SYSTEM
  ibrav = 0, nat = 4, ntyp = 3
/
ATOMIC_SPECIES
Mn 54.94 Mn.upf
Cu 63.55 Cu.upf
Pb 207.20 Pb.upf
CELL_PARAMETERS angstrom
-2.047 2.047 5.161
2.047 -2.047 5.161
2.047 2.047 -5.161
ATOMIC_POSITIONS crystal
Mn 0.000 0.000 0.000
Cu 0.750 0.250 0.500
Pb 0.250 0.750 0.500
Pb 0.500 0.500 0.000
```

Results
Relative energy among the computed polymorphs = 0.171 eV/atom
ΔE_f = 0.420 eV per atom
SG = I-4m2, No. 119

=====

Number 1: magnetization 0.0 Bohr magnetons per cell. Number 2: magnetization 3.5 Bohr magnetons per cell. Number 3: magnetization 0.0 Bohr magnetons per cell. Number 4: magnetization 0.0 Bohr magnetons per cell. Number 5: magnetization 4.3 Bohr magnetons per cell. Number 6: magnetization 3.1 Bohr magnetons per cell. Number 7: magnetization 10.1 Bohr magnetons per cell. Number 8: magnetization 8.1 Bohr magnetons per cell. Number 9: magnetization 8.0 Bohr magnetons per cell. Number 10: magnetization 8.1 Bohr magnetons per cell. Number 11: magnetization 10.1 Bohr magnetons per cell. Number 12: magnetization 2.3 Bohr magnetons per cell. Number 13: magnetization 3.6 Bohr magnetons per cell. Number 14: magnetization 11.6 Bohr magnetons per cell. Number 15: magnetization 4.6 Bohr magnetons per cell. Number 16: magnetization 3.8 Bohr magnetons per cell. Number 17: magnetization 3.8 Bohr magnetons per cell. Number 18: magnetization 3.8 Bohr magnetons per cell. Number 19: magnetization 12.8 Bohr magnetons per cell. Number 20: magnetization 3.7 Bohr magnetons per cell.